No. 1
Entry from OQMD: a relaxed structure of SmNb2As3 (PBE).

abc: 4.013 4.013 8.934
angles: 90.00 90.00 120.00
Atoms (fractional coordinates):
1 As 0.000 0.000 0.000
2 As 0.333 0.667 0.303
3 As 0.667 0.333 0.697
4 Nb 0.667 0.333 0.132
5 Nb 0.333 0.667 0.868
6 Sm 0.000 0.000 0.500

## Properties
Its theoretical density is 7.48 Mg/m³. The space group is P-3m1. Its total DFT energy (no corrections) is -7.156 eV/atom.



No. 2
Entry from OQMD: a relaxed structure of DyTm2As3 (PBE).

abc: 4.076 4.076 9.979
angles: 90.00 90.00 120.00
Atoms (fractional coordinates):
1 As 0.000 0.000 0.000
2 As 0.333 0.667 0.330
3 As 0.667 0.333 0.670
4 Dy 0.000 0.000 0.500
5 Tm 0.667 0.333 0.165
6 Tm 0.333 0.667 0.835

## Properties
Its theoretical density is 8.38 Mg/m³. The space group is P-3m1. Its total DFT energy (no corrections) is -6.097 eV/atom.



No. 3
Entry from OQMD: a relaxed structure of Tb3Mg3Ga2Pt (PBE).

abc: 7.317 7.317 4.334
angles: 90.00 90.00 120.00
Atoms (fractional coordinates):
1 Ga 0.667 0.333 0.500
2 Ga 0.333 0.667 0.500
3 Mg 0.764 0.000 0.500
4 Mg 0.236 0.236 0.500
5 Mg 0.000 0.764 0.500
6 Pt 0.000 0.000 0.000
7 Tb 0.414 0.000 0.000
8 Tb 0.000 0.414 0.000
9 Tb 0.586 0.586 0.000

## Properties
Its theoretical density is 7.31 Mg/m³. The space group is P-62m. Its total DFT energy (no corrections) is -4.059 eV/atom.



No. 4
Entry from OQMD: a relaxed structure of Hf2ZnB2 (PBE).

abc: 6.275 6.275 3.438
angles: 90.00 90.00 150.92
Atoms (fractional coordinates):
1 B 0.784 0.216 0.000
2 B 0.216 0.784 0.000
3 Hf 0.639 0.361 0.500
4 Hf 0.361 0.639 0.500
5 Zn 0.000 0.000 0.000

## Properties
Its theoretical density is 11.20 Mg/m³. The space group is Cmmm. Its total DFT energy (no corrections) is -7.603 eV/atom.



No. 5
Entry from OQMD: a relaxed structure of RbReTe (PBE).

abc: 4.819 4.819 4.819
angles: 60.00 60.00 60.00
Atoms (fractional coordinates):
1 Rb 0.250 0.250 0.250
2 Re 0.000 0.000 0.000
3 Te 0.750 0.750 0.750

## Properties
Its theoretical density is 8.38 Mg/m³. The space group is F-43m. Its total DFT energy (no corrections) is -4.062 eV/atom. The excess energy over the best structure of this formula in the dataset comes out at 0 meV/atom.



No. 6
Entry from OQMD: a relaxed structure of Pr2SiGe (PBE).

abc: 4.040 6.014 8.338
angles: 90.00 90.00 90.00
Atoms (fractional coordinates):
1 Ge 0.500 0.622 0.464
2 Ge 0.500 0.378 0.964
3 Pr 0.000 0.636 0.180
4 Pr 0.500 0.132 0.320
5 Pr 0.000 0.364 0.680
6 Pr 0.500 0.868 0.820
7 Si 0.000 0.121 0.037
8 Si 0.000 0.879 0.537

## Properties
Its theoretical density is 6.27 Mg/m³. The space group is Pmc2_1. Its total DFT energy (no corrections) is -5.683 eV/atom.



No. 7
Entry from OQMD: a relaxed structure of SmDySn2Pd4 (PBE).

abc: 4.609 4.609 8.998
angles: 90.00 90.00 120.00
Atoms (fractional coordinates):
1 Dy 0.000 0.000 0.000
2 Pd 0.667 0.333 0.162
3 Pd 0.000 0.000 0.332
4 Pd 0.000 0.000 0.668
5 Pd 0.667 0.333 0.838
6 Sm 0.667 0.333 0.500
7 Sn 0.333 0.667 0.244
8 Sn 0.333 0.667 0.756

## Properties
Its theoretical density is 9.79 Mg/m³. The space group is P-6m2. Its total DFT energy (no corrections) is -5.628 eV/atom.



No. 8
Entry from OQMD: a relaxed structure of Dy2ScCu4Si2Ge2 (PBE).

abc: 7.865 7.865 7.865
angles: 149.59 131.35 58.47
Atoms (fractional coordinates):
1 Cu 0.634 0.326 0.308
2 Cu 0.982 0.674 0.308
3 Cu 0.018 0.326 0.692
4 Cu 0.366 0.674 0.692
5 Dy 0.630 0.130 0.500
6 Dy 0.370 0.870 0.500
7 Ge 0.701 0.500 0.201
8 Ge 0.299 0.500 0.799
9 Sc 0.000 0.000 0.000
10 Si 0.213 0.213 0.000
11 Si 0.787 0.787 0.000

## Properties
Its theoretical density is 7.47 Mg/m³. The space group is Immm. Its total DFT energy (no corrections) is -5.208 eV/atom. The excess energy over the best structure of this formula in the dataset comes out at 0 meV/atom.



No. 9
Entry from OQMD: a relaxed structure of Li2MgScGa2Au2 (PBE).

abc: 4.531 4.531 6.417
angles: 90.00 90.00 90.00
Atoms (fractional coordinates):
1 Au 0.500 0.000 0.248
2 Au 0.000 0.500 0.752
3 Ga 0.000 0.000 0.000
4 Ga 0.500 0.500 0.500
5 Li 0.000 0.500 0.235
6 Li 0.500 0.000 0.765
7 Mg 0.500 0.500 0.000
8 Sc 0.000 0.000 0.500

## Properties
Its theoretical density is 7.77 Mg/m³. The space group is P-4m2. Its total DFT energy (no corrections) is -3.574 eV/atom.



No. 10
Entry from OQMD: a relaxed structure of HoTmTeO2 (PBE).

abc: 3.845 3.845 7.119
angles: 90.00 90.00 120.00
Atoms (fractional coordinates):
1 Ho 0.000 0.000 0.695
2 O 0.000 0.000 0.378
3 O 0.333 0.667 0.619
4 Te 0.667 0.333 0.002
5 Tm 0.333 0.667 0.306

## Properties
Its theoretical density is 8.99 Mg/m³. The space group is P3m1. Its total DFT energy (no corrections) is -7.317 eV/atom. The excess energy over the best structure of this formula in the dataset comes out at 82 meV/atom.



No. 11
Entry from OQMD: a relaxed structure of AgAsPO (PBE).

abc: 3.477 6.408 6.723
angles: 90.00 90.00 90.00
Atoms (fractional coordinates):
1 Ag 0.000 0.828 0.016
2 Ag 0.000 0.172 0.516
3 As 0.500 0.381 0.004
4 As 0.500 0.619 0.504
5 O 0.500 0.386 0.357
6 O 0.500 0.614 0.857
7 P 0.000 0.822 0.378
8 P 0.000 0.178 0.878

## Properties
Its theoretical density is 5.09 Mg/m³. The space group is Pmc2_1. Its total DFT energy (no corrections) is -4.630 eV/atom. The excess energy over the best structure of this formula in the dataset comes out at 0 meV/atom.



No. 12
Entry from OQMD: a relaxed structure of TbZrAsO (PBE).

abc: 3.977 7.534 5.806
angles: 90.00 90.00 90.00
Atoms (fractional coordinates):
1 As 0.000 0.342 0.446
2 As 0.000 0.658 0.946
3 O 0.500 0.842 0.363
4 O 0.500 0.158 0.863
5 Tb 0.000 0.722 0.450
6 Tb 0.000 0.278 0.950
7 Zr 0.500 0.108 0.495
8 Zr 0.500 0.892 0.995

## Properties
Its theoretical density is 6.51 Mg/m³. The space group is Pmc2_1. Its total DFT energy (no corrections) is -7.449 eV/atom. The excess energy over the best structure of this formula in the dataset comes out at 210 meV/atom.